w:
The following is a SCAN calculation of CsLiHg3 at its PBEsol-relaxed geometry, from Alexandria via LeMat-Bulk.

a b c (Å): 6.556 6.556 6.556
angles (deg): 90.00 90.00 90.00
Atoms (fractional coordinates):
Hg 0.000 0.000 0.500
Hg 0.000 0.500 0.000
Hg 0.500 0.000 0.000
Li 0.500 0.500 0.500
Cs 0.000 0.000 0.000

## Properties
The calculation puts the magnetic moment at 0.09 Bohr magnetons per cell.


x:
The following is a SCAN calculation of CsLiHg3 at its PBEsol-relaxed geometry, from Alexandria via LeMat-Bulk.

a b c (Å): 5.299 5.299 5.299
angles (deg): 90.00 90.00 90.00
Atoms (fractional coordinates):
Cs 0.500 0.500 0.500
Hg 0.500 0.000 0.000
Hg 0.000 0.000 0.500
Hg 0.000 0.500 0.000
Li 0.000 0.000 0.000

## Properties
The calculation puts the magnetic moment at 0.00 Bohr magnetons per cell.


List of relative energies, unit meV/atom: w 597; x 0